This record from the Alexandria database describes an optimized crystal structure of CrInI2O. The functional is GGA+U.

Cell and atoms, written as CIF:
```
data_CrInI2O
_cell_length_a 6.0386
_cell_length_b 6.0386
_cell_length_c 3.7452
_cell_angle_alpha 90.00
_cell_angle_beta 90.00
_cell_angle_gamma 90.00
_symmetry_space_group_name_H-M 'P 4/m m m'
_symmetry_Int_Tables_number 123
_symmetry_space_group_name_Hall '-P 4 2'
loop_
_atom_site_label
_atom_site_fract_x
_atom_site_fract_y
_atom_site_fract_z
_atom_site_occupancy
Cr1 0.0000 0.0000 0.0000 1
In1 0.5000 0.5000 0.5000 1
I1 0.0000 0.5000 0.0000 1
O1 0.0000 0.0000 0.5000 1
```

Calculated values
Its offset from the most stable computed form is 0.0 meV/atom. As for the spin magnetization: 2.994 μB per formula unit. The energy comes out at -4.277 eV per atom. As for the density of states at the Fermi level: 0.5477 states/eV per atom.